A plane-wave DFT calculation with PBE was carried out for a geometry-optimized Cs2B4S5 structure.

Summary:
D(E_F) in states/eV/cell: 0.1
Calculated total energy in eV/cell: -109.89
Size of the total moment in μB per formula unit: 0.0

Cell and atoms, written as CIF:
```
data_Cs2B4S5
_space_group_name_H-M_alt 'C 1 2/m 1'
_space_group_IT_number 12
_cell_length_a 12.009
_cell_length_b 5.980
_cell_length_c 8.875
_cell_angle_alpha 90.00
_cell_angle_beta 121.23
_cell_angle_gamma 90.00
loop_
_space_group_symop_operation_xyz
'x,y,z'
'-x,-y,-z'
'-x,y,-z'
'x,-y,z'
'x+1/2,y+1/2,z'
'-x+1/2,-y+1/2,-z'
'-x+1/2,y+1/2,-z'
'x+1/2,-y+1/2,z'
loop_
_atom_site_label
_atom_site_fract_x
_atom_site_fract_y
_atom_site_fract_z
Cs1 0.064 0.000 0.295
B1 0.209 0.500 0.886
B2 0.211 0.500 0.078
S1 0.000 0.500 0.000
S2 0.213 0.251 0.769
```